1.
The following is a PBE calculation of a relaxed structure of AlPd5Pt8, from Alexandria.

Calculated volume   228.4 Å³/f.u.
ΔH_f (0 K)   -0.26 eV/f.u.

Cell and atoms, written as CIF:
```
data_AlPd5Pt8
_chemical_formula_sum 'Al2 Pd10 Pt16'
_symmetry_space_group_name_H-M 'I -4'
_symmetry_Int_Tables_number 82
_symmetry_space_group_name_Hall 'I -4'
_cell_length_a 7.796
_cell_length_b 7.796
_cell_length_c 7.517
_cell_angle_alpha 90.00
_cell_angle_beta 90.00
_cell_angle_gamma 90.00
loop_
_atom_site_label
_atom_site_type_symbol
_atom_site_fract_x
_atom_site_fract_y
_atom_site_fract_z
Al1 Al 0.000 0.000 0.000
Pd1 Pd 0.000 0.500 0.250
Pd2 Pd 0.112 0.811 0.591
Pt1 Pt 0.056 0.663 0.914
Pt2 Pt 0.111 0.816 0.237
```

2.
The following is a PBE calculation of a relaxed structure of Nd2B3Pt12Au, from Alexandria.

Calculated volume   325.6 Å³/f.u.
ΔH_f (0 K)   -5.67 eV/f.u.

Cell and atoms, written as CIF:
```
data_Nd2B3Pt12Au
_chemical_formula_sum 'Nd6 B9 Pt36 Au3'
_symmetry_space_group_name_H-M 'R -3 m'
_symmetry_Int_Tables_number 166
_symmetry_space_group_name_Hall '-R 3 2"'
_cell_length_a 7.9727
_cell_length_b 7.9727
_cell_length_c 17.7448
_cell_angle_alpha 90.00
_cell_angle_beta 90.00
_cell_angle_gamma 120.00
loop_
_atom_site_label
_atom_site_type_symbol
_atom_site_fract_x
_atom_site_fract_y
_atom_site_fract_z
Nd1 Nd 0.0000 0.0000 0.1027
B1 B 0.0000 0.5000 0.0000
Pt1 Pt 0.0175 0.5087 0.8799
Pt2 Pt 0.0583 0.5291 0.3535
Au1 Au 0.0000 0.0000 0.5000
```

3.
The following is a PBE calculation of a relaxed structure of Li5Cd5Au2, from Alexandria.

Calculated volume   216.6 Å³/f.u.
ΔH_f (0 K)   -3.87 eV/f.u.

Cell and atoms, written as CIF:
```
data_Li5Cd5Au2
_chemical_formula_sum 'Li10 Cd10 Au4'
_symmetry_space_group_name_H-M 'C 1 2/m 1'
_symmetry_Int_Tables_number 12
_symmetry_space_group_name_Hall '-C 2y'
_cell_length_a 13.932
_cell_length_b 4.670
_cell_length_c 8.075
_cell_angle_alpha 90.00
_cell_angle_beta 124.45
_cell_angle_gamma 90.00
loop_
_atom_site_label
_atom_site_type_symbol
_atom_site_fract_x
_atom_site_fract_y
_atom_site_fract_z
Li1 Li 0.000 0.000 0.000
Li2 Li 0.074 0.000 0.405
Li3 Li 0.249 0.000 0.212
Cd1 Cd 0.000 0.500 0.500
Cd2 Cd 0.088 0.500 0.929
Cd3 Cd 0.184 0.500 0.360
Au1 Au 0.153 0.000 0.798
```

| no. | electronic total energy (eV per atom) |
| --- | --- |
| 1 | -5.59 |
| 2 | -6.17 |
| 3 | -2.05 |